1:
# NaPdPt

Crystalline NaPdPt at its relaxed geometry (PBE, OQMD).

```
3
Lattice="0.000 3.113 3.113 3.113 0.000 3.113 3.113 3.113 0.000" Properties=species:S:1:pos:R:3 pbc="T T T"
Na 3.113 3.113 3.113
Pd 1.556 1.556 1.556
Pt 0.000 0.000 0.000
```

## Properties
* size of the total moment: 0.076 μB per atom
* volume: 60.33 Å³ per cell
* calculated density: 8.931 g cm⁻³

2:
# NaPdPt

Crystalline NaPdPt at its relaxed geometry (PBE, OQMD).

```
3
Lattice="-0.713 -1.207 4.078 -4.039 -0.532 1.416 -1.483 -3.960 0.849" Properties=species:S:1:pos:R:3 pbc="T T T"
Na 0.000 0.000 0.000
Pd -1.559 -1.425 1.586
Pt -4.676 -4.274 4.758
```

## Properties
* size of the total moment: 0.002 μB per atom
* volume: 56.72 Å³ per cell
* calculated density: 9.500 g cm⁻³

Least stable: 2

1:
# NaPuPd

Crystalline NaPuPd at its relaxed geometry (PBE, OQMD).

```
3
Lattice="2.626 -1.318 3.839 1.505 3.335 3.160 -1.932 0.181 4.428" Properties=species:S:1:pos:R:3 pbc="T T T"
Na 1.099 1.099 5.713
Pd 0.000 0.000 0.000
Pu 0.550 0.550 2.857
```

## Properties
* size of the total moment: 2.188 μB per atom
* volume: 79.89 Å³ per cell
* calculated density: 7.761 g cm⁻³

2:
# NaPuPd

Crystalline NaPuPd at its relaxed geometry (PBE, OQMD).

```
3
Lattice="0.000 3.405 3.405 3.405 0.000 3.405 3.405 3.405 0.000" Properties=species:S:1:pos:R:3 pbc="T T T"
Na 1.702 1.702 1.702
Pd 0.000 0.000 0.000
Pu 5.107 5.107 5.107
```

## Properties
* size of the total moment: 2.017 μB per atom
* volume: 78.93 Å³ per cell
* calculated density: 7.856 g cm⁻³

Least stable: 1

1:
# RbNaPdW

Crystalline RbNaPdW at its relaxed geometry (PBE, OQMD).

```
4
Lattice="-4.423 0.086 2.960 -4.598 -1.746 -2.034 -2.122 -4.558 1.747" Properties=species:S:1:pos:R:3 pbc="T T T"
Na -8.357 -4.664 2.004
Pd -5.571 -3.109 1.336
Rb -2.786 -1.555 0.668
W 0.000 0.000 0.000
```

## Properties
* size of the total moment: 1.106 μB per atom
* volume: 106.62 Å³ per cell
* calculated density: 6.210 g cm⁻³

2:
# RbNaPdW

Crystalline RbNaPdW at its relaxed geometry (PBE, OQMD).

```
4
Lattice="-0.321 -5.024 1.156 -2.749 -3.172 -3.011 2.407 -3.489 -2.952" Properties=species:S:1:pos:R:3 pbc="T T T"
Na -0.497 -8.764 -3.605
Pd -0.166 -2.921 -1.202
Rb -0.331 -5.843 -2.403
W 0.000 0.000 0.000
```

## Properties
* size of the total moment: 1.028 μB per atom
* volume: 97.47 Å³ per cell
* calculated density: 6.793 g cm⁻³

3:
# RbNaPdW

Crystalline RbNaPdW at its relaxed geometry (PBE, OQMD).

```
4
Lattice="4.045 -3.006 -0.875 -0.283 -5.014 0.969 -0.092 -3.350 -3.864" Properties=species:S:1:pos:R:3 pbc="T T T"
Na 2.753 -8.528 -2.827
Pd 0.000 0.000 0.000
Rb 1.835 -5.685 -1.885
W 0.918 -2.843 -0.942
```

## Properties
* size of the total moment: 0.978 μB per atom
* volume: 94.62 Å³ per cell
* calculated density: 6.997 g cm⁻³

Least stable: 1

1:
# Na2Pd2S3

Crystalline Na2Pd2S3 at its relaxed geometry (PBE, OQMD).

```
14
Lattice="2.064 -1.423 6.328 4.543 4.082 -3.004 -6.047 3.117 0.233" Properties=species:S:1:pos:R:3 pbc="T T T"
Na 2.953 1.572 0.586
Na 0.095 0.982 0.605
Na -0.963 0.317 3.241
Na -1.524 2.906 -0.875
Pd 3.965 0.874 3.689
Pd 0.703 4.907 -2.348
Pd 0.381 3.927 2.418
Pd -3.928 1.846 3.355
S 4.801 2.733 2.209
S 1.630 1.481 2.961
S 1.054 3.526 -0.271
S -1.959 2.473 1.915
S -2.309 1.543 5.262
S -1.536 5.573 -1.406
```

## Properties
* volume: 242.79 Å³ per cell
* calculated density: 4.856 g cm⁻³

2:
# Na2Pd2S3

Crystalline Na2Pd2S3 at its relaxed geometry (PBE, OQMD).

```
7
Lattice="3.632 2.097 4.175 -3.632 2.097 4.175 0.000 -4.194 4.175" Properties=species:S:1:pos:R:3 pbc="T T T"
Na 0.000 0.000 0.000
Na 0.000 0.000 6.263
Pd 0.000 0.000 2.926
Pd 0.000 0.000 9.600
S 1.816 1.048 2.088
S -1.816 1.048 2.088
S 0.000 -2.097 2.088
```

## Properties
* volume: 190.80 Å³ per cell
* calculated density: 3.090 g cm⁻³

Least stable: 2

1:
# NaSi2Pd2

Crystalline NaSi2Pd2 at its relaxed geometry (PBE, OQMD).

```
5
Lattice="-2.052 2.052 5.037 2.052 -2.052 5.037 2.052 2.052 -5.037" Properties=species:S:1:pos:R:3 pbc="T T T"
Na 0.000 0.000 0.000
Pd 0.000 2.052 2.519
Pd 2.052 0.000 2.519
Si 0.000 0.000 3.863
Si 0.000 0.000 6.212
```

## Properties
* volume: 84.84 Å³ per cell
* calculated density: 5.715 g cm⁻³

2:
# NaSi2Pd2

Crystalline NaSi2Pd2 at its relaxed geometry (PBE, OQMD).

```
5
Lattice="-2.016 2.016 5.403 2.016 -2.016 5.403 2.016 2.016 -5.403" Properties=species:S:1:pos:R:3 pbc="T T T"
Na 0.000 0.000 0.000
Pd 0.000 0.000 4.028
Pd 0.000 0.000 6.777
Si 0.000 2.016 2.701
Si 2.016 0.000 2.701
```

## Properties
* volume: 87.86 Å³ per cell
* calculated density: 5.519 g cm⁻³

Least stable: 2

1:
# NaTlSnPd

Crystalline NaTlSnPd at its relaxed geometry (PBE, OQMD).

```
4
Lattice="0.000 3.501 3.501 3.501 0.000 3.501 3.501 3.501 0.000" Properties=species:S:1:pos:R:3 pbc="T T T"
Na 5.252 5.252 5.252
Pd 1.751 1.751 1.751
Sn 0.000 0.000 0.000
Tl 3.501 3.501 3.501
```

## Properties
* volume: 85.86 Å³ per cell
* calculated density: 8.752 g cm⁻³

2:
# NaTlSnPd

Crystalline NaTlSnPd at its relaxed geometry (PBE, OQMD).

```
4
Lattice="2.302 -4.417 -0.726 2.105 -2.410 3.885 -2.074 -4.237 1.755" Properties=species:S:1:pos:R:3 pbc="T T T"
Na 1.749 -8.298 3.686
Pd 1.166 -5.532 2.457
Sn 0.000 0.000 0.000
Tl 0.583 -2.766 1.229
```

## Properties
* volume: 90.17 Å³ per cell
* calculated density: 8.334 g cm⁻³

Least stable: 2

1:
# NaYSnPd

Crystalline NaYSnPd at its relaxed geometry (PBE, OQMD).

```
4
Lattice="-3.219 -2.740 2.471 0.144 -0.132 4.893 -3.544 2.144 2.612" Properties=species:S:1:pos:R:3 pbc="T T T"
Na -4.965 -0.546 7.483
Pd -1.655 -0.182 2.494
Sn -3.310 -0.364 4.988
Y 0.000 0.000 0.000
```

## Properties
* size of the total moment: 0.000 μB per atom
* volume: 83.04 Å³ per cell
* calculated density: 6.740 g cm⁻³

2:
# NaYSnPd

Crystalline NaYSnPd at its relaxed geometry (PBE, OQMD).

```
4
Lattice="-2.932 0.504 4.087 -1.739 4.560 1.316 -4.909 1.082 -0.529" Properties=species:S:1:pos:R:3 pbc="T T T"
Na -7.185 4.610 3.655
Pd 0.000 0.000 0.000
Sn -4.790 3.073 2.437
Y -2.395 1.537 1.218
```

## Properties
* size of the total moment: 0.000 μB per atom
* volume: 91.32 Å³ per cell
* calculated density: 6.128 g cm⁻³

Least stable: 2